Entry from Alexandria: a relaxed PmTaNi2O6 crystal (PBE+U).

## Properties
VASP energy	-7.429	eV per atom
D(E_F)	0.000	states/eV/atom
magnetic moment	4.00	μB/f.u.

Lattice parameters (Å, degrees): 5.3720 5.3730 5.7311 62.05 62.06 60.01
Last column: nearest neighbours and their distance in Å.
Sites, in units of the cell vectors:
1 Ni 0.5190 0.5189 0.4431  6 O 2.11-2.14
2 O 0.5922 0.2439 0.2309  1 Ta 1.96, 1 Ni 2.11
3 Ni 0.0162 0.0162 0.9513  6 O 2.02-2.21
4 O 0.2440 0.9330 0.2309  1 Ta 1.97, 1 Ni 2.11
5 Pm 0.8002 0.8003 0.5995  6 O 2.26-2.50
6 O 0.3699 0.7139 0.7581  2 Ni 2.03-2.14, 1 Ta 2.08, 1 Pm 2.26
7 O 0.1582 0.3698 0.7580  2 Ni 2.03-2.14, 1 Ta 2.08, 1 Pm 2.26
8 Ta 0.3150 0.3152 0.0546  6 O 1.96-2.08
9 O 0.9329 0.5922 0.2308  1 Ta 1.96, 1 Ni 2.11
10 O 0.7139 0.1582 0.7580  2 Ni 2.02-2.14, 1 Ta 2.08, 1 Pm 2.26